(1)
Li2NiPd: optimized geometry, PBE-GGA.

## Properties
The symmetry is No. 123. The formation enthalpy at 0 K is -2.79 kcal/mol of atoms.

Cell: 2.9510 2.9510 5.6920 Å, 90.00 90.00 90.00°
With the nearest neighbours (Å) after each atom.
Atoms (fractional coordinates):
Ni1 0.5000 0.5000 0.5000  8 Li 2.50
Pd1 0.5000 0.5000 0.0000  8 Li 2.55, 2 Ni 2.85
Li1 0.0000 0.0000 0.7417  4 Ni 2.50, 4 Pd 2.55, 1 Li 2.75
Li2 0.0000 0.0000 0.2583  4 Ni 2.50, 4 Pd 2.55, 1 Li 2.75



(2)
Li5NiPd4: optimized geometry, PBE-GGA.

## Properties
The symmetry is No. 12. The formation enthalpy at 0 K is -7.50 kcal/mol of atoms.

Cell: 4.3058 5.1434 6.6450 Å, 103.47 108.90 90.00°
With the nearest neighbours (Å) after each atom.
Atoms (fractional coordinates):
Pd1 0.7002 0.2968 0.4004  7 Li 2.54-2.60, 1 Ni 2.60
Li1 0.5000 0.5000 0.0000  2 Ni 2.57, 6 Li 2.63
Li2 0.1022 0.3929 0.2044  6 Pd 2.51-2.63, 2 Li 2.63
Pd2 0.0961 0.9008 0.1921  6 Li 2.51-2.64, 2 Ni 2.58
Li3 0.7017 0.8039 0.4035  7 Pd 2.54-2.64, 1 Li 2.63
Pd3 0.2998 0.7032 0.5996  7 Li 2.54-2.60, 1 Ni 2.60
Ni1 0.5000 0.0000 0.0000  2 Li 2.57, 6 Pd 2.58-2.60
Li4 0.2983 0.1961 0.5965  7 Pd 2.54-2.64, 1 Li 2.63
Pd4 0.9039 0.0992 0.8079  6 Li 2.51-2.64, 2 Ni 2.58
Li5 0.8978 0.6071 0.7956  6 Pd 2.51-2.63, 2 Li 2.63



(3)
Li6NiPd12: optimized geometry, PBE-GGA.

## Properties
The symmetry is No. 148. The formation enthalpy at 0 K is -6.20 kcal/mol of atoms.

Cell: 6.6962 7.2393 7.2393 Å, 69.06 72.04 107.96°
With the nearest neighbours (Å) after each atom.
Atoms (fractional coordinates):
Pd1 0.8374 0.9407 0.4246  5 Li 2.68-2.76, 6 Pd 2.71-2.77, 1 Ni 2.74
Pd2 0.6870 0.8947 0.8389  4 Li 2.67-2.78, 7 Pd 2.71-2.77, 1 Ni 2.74
Pd3 0.7924 0.2664 0.8947  4 Li 2.67-2.78, 7 Pd 2.71-2.77, 1 Ni 2.74
Pd4 0.1626 0.0593 0.5754  5 Li 2.68-2.76, 6 Pd 2.71-2.77, 1 Ni 2.74
Li1 0.0542 0.6914 0.5172  9 Pd 2.67-2.78, 3 Li 2.76-2.78
Pd5 0.4740 0.1611 0.7336  4 Li 2.67-2.78, 7 Pd 2.71-2.77, 1 Ni 2.74
Li2 0.4285 0.4828 0.2087  9 Pd 2.67-2.78, 3 Li 2.76-2.78
Pd6 0.3130 0.1053 0.1611  4 Li 2.67-2.78, 7 Pd 2.71-2.77, 1 Ni 2.74
Pd7 0.1033 0.3653 0.0593  5 Li 2.68-2.76, 6 Pd 2.71-2.77, 1 Ni 2.74
Pd8 0.8967 0.6347 0.9407  5 Li 2.68-2.76, 6 Pd 2.71-2.77, 1 Ni 2.74
Li3 0.9458 0.3086 0.4828  9 Pd 2.67-2.78, 3 Li 2.76-2.78
Ni1 0.0000 0.0000 0.0000  12 Pd 2.74
Pd9 0.7380 0.5754 0.3653  5 Li 2.68-2.76, 6 Pd 2.71-2.77, 1 Ni 2.74
Pd10 0.2076 0.7336 0.1053  4 Li 2.67-2.78, 7 Pd 2.71-2.77, 1 Ni 2.74
Pd11 0.5260 0.8389 0.2664  4 Li 2.67-2.78, 7 Pd 2.71-2.77, 1 Ni 2.74
Li4 0.5715 0.5172 0.7913  9 Pd 2.67-2.78, 3 Li 2.76-2.78
Li5 0.3628 0.7913 0.6914  9 Pd 2.67-2.78, 3 Li 2.76-2.78
Li6 0.6372 0.2087 0.3086  9 Pd 2.67-2.78, 3 Li 2.76-2.78
Pd12 0.2620 0.4246 0.6347  5 Li 2.68-2.76, 6 Pd 2.71-2.77, 1 Ni 2.74



(4)
Li12NiPd6: optimized geometry, PBE-GGA.

## Properties
The symmetry is No. 148. The formation enthalpy at 0 K is -6.75 kcal/mol of atoms.

Cell: 6.6159 6.6159 6.6159 Å, 90.54 90.54 90.54°
With the nearest neighbours (Å) after each atom.
Atoms (fractional coordinates):
Li1 0.6272 0.9727 0.8601  2 Li 2.54-2.79, 1 Ni 2.63, 3 Pd 2.66-2.71
Li2 0.1399 0.3728 0.0273  2 Li 2.54-2.79, 1 Ni 2.63, 3 Pd 2.66-2.71
Li3 0.5246 0.4218 0.8117  4 Pd 2.64-2.72, 5 Li 2.71-2.95
Li4 0.4218 0.8117 0.5246  4 Pd 2.64-2.72, 5 Li 2.71-2.95
Pd1 0.7318 0.2671 0.1181  1 Ni 2.63, 9 Li 2.64-2.85, 2 Pd 2.74
Li5 0.8117 0.5246 0.4218  4 Pd 2.64-2.72, 5 Li 2.71-2.95
Pd2 0.8819 0.2682 0.7329  1 Ni 2.63, 9 Li 2.64-2.85, 2 Pd 2.74
Li6 0.9727 0.8601 0.6272  2 Li 2.54-2.79, 1 Ni 2.63, 3 Pd 2.66-2.71
Ni1 0.0000 0.0000 0.0000  6 Li 2.63, 6 Pd 2.63
Li7 0.3728 0.0273 0.1399  2 Li 2.54-2.79, 1 Ni 2.63, 3 Pd 2.66-2.71
Li8 0.1883 0.4754 0.5782  4 Pd 2.64-2.72, 5 Li 2.71-2.95
Pd3 0.7329 0.8819 0.2682  1 Ni 2.63, 9 Li 2.64-2.85, 2 Pd 2.74
Li9 0.5782 0.1883 0.4754  4 Pd 2.64-2.72, 5 Li 2.71-2.95
Li10 0.0273 0.1399 0.3728  2 Li 2.54-2.79, 1 Ni 2.63, 3 Pd 2.66-2.71
Li11 0.8601 0.6272 0.9727  2 Li 2.54-2.79, 1 Ni 2.63, 3 Pd 2.66-2.71
Pd4 0.1181 0.7318 0.2671  1 Ni 2.63, 9 Li 2.64-2.85, 2 Pd 2.74
Pd5 0.2671 0.1181 0.7318  1 Ni 2.63, 9 Li 2.64-2.85, 2 Pd 2.74
Pd6 0.2682 0.7329 0.8819  1 Ni 2.63, 9 Li 2.64-2.85, 2 Pd 2.74
Li12 0.4754 0.5782 0.1883  4 Pd 2.64-2.72, 5 Li 2.71-2.95



(5)
LiNiPd2: optimized geometry, PBE-GGA.

## Properties
The symmetry is No. 65. The formation enthalpy at 0 K is -5.30 kcal/mol of atoms.

Cell: 2.7241 4.4926 4.4926 Å, 103.24 90.00 90.00°
With the nearest neighbours (Å) after each atom.
Atoms (fractional coordinates):
Pd1 0.0000 0.5000 0.0000  4 Ni 2.63, 4 Li 2.63, 4 Pd 2.72-2.79
Pd2 0.0000 0.0000 0.5000  4 Li 2.63, 4 Ni 2.63, 4 Pd 2.72-2.79
Ni1 0.5000 0.5000 0.5000  8 Pd 2.63, 2 Ni 2.72, 2 Li 2.79
Li1 0.5000 0.0000 0.0000  8 Pd 2.63, 2 Li 2.72, 2 Ni 2.79



(6)
LiNiPd2: optimized geometry, PBE-GGA.

## Properties
The symmetry is No. 166. The formation enthalpy at 0 K is -3.06 kcal/mol of atoms.

Cell: 2.7321 2.7321 8.7020 Å, 80.97 80.97 60.00°
With the nearest neighbours (Å) after each atom.
Atoms (fractional coordinates):
Ni1 0.5000 0.5000 0.5000  6 Pd 2.65, 6 Ni 2.73
Pd1 0.2494 0.2494 0.2518  3 Ni 2.65, 3 Li 2.67, 6 Pd 2.73
Pd2 0.7506 0.7506 0.7482  3 Ni 2.65, 3 Li 2.67, 6 Pd 2.73
Li1 0.0000 0.0000 0.0000  6 Pd 2.67, 6 Li 2.73



(7)
LiNiPd2: optimized geometry, PBE-GGA.

## Properties
The symmetry is No. 123. The formation enthalpy at 0 K is -5.08 kcal/mol of atoms.

Cell: 2.8607 4.3093 4.3093 Å, 90.00 90.00 90.00°
With the nearest neighbours (Å) after each atom.
Atoms (fractional coordinates):
Pd1 0.0000 0.5000 0.0000  4 Li 2.59, 4 Ni 2.59, 2 Pd 2.86
Ni1 0.5000 0.0000 0.0000  8 Pd 2.59, 2 Ni 2.86
Li1 0.5000 0.5000 0.5000  8 Pd 2.59, 2 Li 2.86
Pd2 0.0000 0.0000 0.5000  4 Li 2.59, 4 Ni 2.59, 2 Pd 2.86



(8)
Li2Ni2Pd: optimized geometry, PBE-GGA.

## Properties
The symmetry is No. 127. The formation enthalpy at 0 K is 1.71 kcal/mol of atoms. As for the energy relative to the lowest polymorph listed for this composition: 0.02 eV per formula unit.

Cell: 6.6936 6.6936 2.7651 Å, 90.00 90.00 90.00°
With the nearest neighbours (Å) after each atom.
Atoms (fractional coordinates):
Li1 0.8235 0.3235 0.5000  6 Ni 2.36-2.46
Pd1 0.5000 0.5000 0.0000  4 Ni 2.66, 2 Pd 2.77, 8 Li 2.83
Ni1 0.1220 0.3780 0.0000  1 Ni 2.31, 6 Li 2.36-2.46
Ni2 0.3780 0.8780 0.0000  1 Ni 2.31, 6 Li 2.36-2.46
Li2 0.1765 0.6765 0.5000  6 Ni 2.36-2.46
Pd2 0.0000 0.0000 0.0000  4 Ni 2.66, 2 Pd 2.77, 8 Li 2.83
Li3 0.3235 0.1765 0.5000  6 Ni 2.36-2.46
Ni3 0.8780 0.6220 0.0000  1 Ni 2.31, 6 Li 2.36-2.46
Ni4 0.6220 0.1220 0.0000  1 Ni 2.31, 6 Li 2.36-2.46
Li4 0.6765 0.8235 0.5000  6 Ni 2.36-2.46



(9)
Li6NiPd: optimized geometry, PBE-GGA.

## Properties
The symmetry is No. 2. The formation enthalpy at 0 K is -1.69 kcal/mol of atoms.

Cell: 6.8777 6.8655 4.9002 Å, 45.13 45.08 60.37°
With the nearest neighbours (Å) after each atom.
Atoms (fractional coordinates):
Pd1 0.5000 0.5000 0.5000  12 Li 2.71-2.74
Ni1 0.0000 0.0000 0.0000  12 Li 2.71-2.74
Li1 0.7508 0.0001 0.7485  2 Li 2.43-2.44, 1 Pd 2.71
Li2 0.9997 0.4996 0.7501  2 Li 2.44-2.46, 1 Ni 2.71, 2 Pd 2.72-2.74
Li3 0.4997 0.7508 0.7507  2 Li 2.42-2.44, 1 Ni 2.71
Li4 0.5003 0.2492 0.2493  2 Li 2.42-2.44, 1 Ni 2.71
Li5 0.2492 0.9999 0.2515  2 Li 2.43-2.44, 1 Pd 2.71
Li6 0.0003 0.5004 0.2499  2 Li 2.44-2.46, 1 Ni 2.71, 2 Pd 2.72-2.74



(10)
LiNiPd14: optimized geometry, PBE-GGA.

## Properties
The symmetry is No. 123. The formation enthalpy at 0 K is -1.11 kcal/mol of atoms.

Cell: 5.5305 5.5305 7.8686 Å, 90.00 90.00 90.00°
With the nearest neighbours (Å) after each atom.
Atoms (fractional coordinates):
Pd1 0.1239 0.1239 0.7429  1 Ni 2.73, 10 Pd 2.73-2.82, 1 Li 2.74
Pd2 0.6261 0.6261 0.7429  1 Ni 2.73, 10 Pd 2.73-2.82, 1 Li 2.74
Pd3 0.3750 0.3750 0.0000  12 Pd 2.77-2.82
Pd4 0.6262 0.1238 0.2571  1 Ni 2.73, 10 Pd 2.73-2.82, 1 Li 2.74
Li1 0.3750 0.3750 0.5000  12 Pd 2.74-2.77
Pd5 0.8750 0.8750 0.0000  12 Pd 2.77-2.81
Pd6 0.8750 0.3750 0.0000  12 Pd 2.77-2.81
Pd7 0.8750 0.3750 0.5000  8 Pd 2.73, 2 Li 2.77, 2 Ni 2.77
Pd8 0.1239 0.1239 0.2571  1 Ni 2.73, 10 Pd 2.73-2.82, 1 Li 2.74
Ni1 0.8750 0.8750 0.5000  12 Pd 2.73-2.77
Pd9 0.3750 0.8750 0.5000  8 Pd 2.73, 2 Li 2.77, 2 Ni 2.77
Pd10 0.1238 0.6262 0.2571  1 Ni 2.73, 10 Pd 2.73-2.82, 1 Li 2.74
Pd11 0.6261 0.6261 0.2571  1 Ni 2.73, 10 Pd 2.73-2.82, 1 Li 2.74
Pd12 0.6262 0.1238 0.7429  1 Ni 2.73, 10 Pd 2.73-2.82, 1 Li 2.74
Pd13 0.1238 0.6262 0.7429  1 Ni 2.73, 10 Pd 2.73-2.82, 1 Li 2.74
Pd14 0.3750 0.8750 0.0000  12 Pd 2.77-2.81



(11)
LiNiPd3: optimized geometry, PBE-GGA.

## Properties
The symmetry is No. 2. The formation enthalpy at 0 K is -2.65 kcal/mol of atoms. As for the energy relative to the lowest polymorph listed for this composition: 0.14 eV per formula unit.

Cell: 2.7500 11.7953 6.2339 Å, 83.32 131.68 83.34°
With the nearest neighbours (Å) after each atom.
Atoms (fractional coordinates):
Pd1 0.3135 0.5157 0.2197  4 Li 2.53-2.76, 2 Ni 2.56, 4 Pd 2.72-2.75
Pd2 0.2310 0.2834 0.0881  3 Ni 2.60-2.61, 2 Li 2.74, 6 Pd 2.75-2.90
Li1 0.3485 0.7380 0.3169  6 Pd 2.53-2.76, 2 Ni 2.70-2.72, 2 Li 2.75
Pd3 0.2021 0.7021 0.8762  4 Li 2.53-2.76, 2 Ni 2.56-2.57, 4 Pd 2.72-2.75
Pd4 0.2841 0.9343 0.0074  3 Ni 2.60-2.61, 2 Li 2.74, 6 Pd 2.75-2.90
Ni1 0.1805 0.8802 0.5884  7 Pd 2.55-2.61, 2 Li 2.70-2.72, 2 Ni 2.75
Pd5 0.2279 0.0634 0.3473  2 Ni 2.55, 7 Pd 2.71-2.82
Ni2 0.3345 0.3377 0.5070  7 Pd 2.55-2.61, 2 Li 2.71-2.72, 2 Ni 2.75
Pd6 0.2870 0.1543 0.7482  2 Ni 2.55, 7 Pd 2.71-2.82
Li2 0.1677 0.4798 0.7790  6 Pd 2.53-2.76, 2 Ni 2.71-2.72, 2 Li 2.75



(12)
Li6NiPd2: optimized geometry, PBE-GGA.

## Properties
The symmetry is No. 8. The formation enthalpy at 0 K is -5.27 kcal/mol of atoms.

Cell: 2.6290 7.3915 7.3915 Å, 59.99 90.08 90.08°
With the nearest neighbours (Å) after each atom.
Atoms (fractional coordinates):
Li1 0.5026 0.6676 0.0000  5 Li 2.46-2.63
Li2 0.5026 0.0000 0.6676  5 Li 2.46-2.63
Pd1 0.0004 0.3334 0.3334  2 Pd 2.63, 12 Li 2.79-2.80
Pd2 0.0003 0.6667 0.6667  2 Pd 2.63, 12 Li 2.79-2.80
Li3 0.4990 0.3322 0.6677  5 Li 2.46-2.63
Li4 0.4991 0.0000 0.3323  5 Li 2.46-2.63
Ni1 0.9979 0.0000 0.0000  2 Ni 2.63, 12 Li 2.78-2.79
Li5 0.4990 0.6677 0.3322  5 Li 2.46-2.63
Li6 0.4991 0.3323 0.0000  5 Li 2.46-2.63